This record from the Alexandria database describes an optimized crystal structure of Sm2NpGa. The functional is GGA-PBE.

Lattice parameters (Å, degrees): 3.419 3.419 11.539 81.48 81.48 60.00
Site moments in Bohr magnetons follow the coordinates.
Fractional coordinates of all 4 atoms:
Np: 0.000 0.000 0.000  4.40
Ga: 0.500 0.500 0.500  0.00
Sm: 0.901 0.901 0.297  0.02
Sm: 0.099 0.099 0.703  0.02

Calculated values
Its formation energy is 0.31 eV per atom.